VASP calculation (PBE+U) on an optimized crystal structure of BaVIO2.

Geometry as POSCAR:
```
BaVIO2
1.0
4.6953 0.0000 0.0000
0.0000 4.6953 0.0000
0.0000 0.0000 6.9833
Ba V I O
1 1 1 2
direct
0.0000 0.0000 0.0000 Ba
0.5000 0.5000 0.5000 V
0.0000 0.0000 0.5000 I
0.0000 0.5000 0.0000 O
0.5000 0.0000 0.0000 O
```

Calculated values
The space group is P4/mmm (123). The calculation puts the excess energy over the best structure of this formula in the dataset at 9.18 eV/f.u. As for the calculated volume: 30.79 Å³ per atom. For the density of states at the Fermi level, the calculation gives 5.568 states/eV/cell. The density is 3.74 g/cm3.